No. 1
First-principles (GGA-PBE) data for crystalline AcTb2Ce at its relaxed geometry, as listed in Alexandria via LeMat-Bulk.

Properties
The mass density is 8.2 g/cm3. As for the formation energy from the elements: 0.105 eV/atom. As for the uncorrected energy: -56.646 eV for the cell shown.

Geometry as CIF:
```
data_AcTb2Ce
_chemical_formula_sum 'Ac3 Tb6 Ce3'
_space_group_name_H-M_alt 'R 3 m'
_space_group_IT_number 160
_space_group_name_Hall 'R 3 -2"'
_cell_length_a 3.6798
_cell_length_b 3.6798
_cell_length_c 35.4234
_cell_angle_alpha 90.00
_cell_angle_beta 90.00
_cell_angle_gamma 120.00
loop_
_atom_site_label
_atom_site_type_symbol
_atom_site_fract_x
_atom_site_fract_y
_atom_site_fract_z
_atom_site_occupancy
Ac1 Ac 0.0000 0.0000 0.0000 1
Tb1 Tb 0.0000 0.0000 0.4193 1
Tb2 Tb 0.0000 0.0000 0.5804 1
Ce1 Ce 0.0000 0.0000 0.1661 1
```


No. 2
First-principles (GGA-PBE) data for crystalline Tb2ThSc3 at its relaxed geometry, as listed in Alexandria via LeMat-Bulk.

Properties
The mass density is 5.8 g/cm3. As for the formation energy from the elements: 0.563 eV/atom. As for the uncorrected energy: -129.178 eV for the cell shown.

Geometry as CIF:
```
data_Tb2ThSc3
_chemical_formula_sum 'Tb8 Th4 Sc12'
_space_group_name_H-M_alt 'I b a m'
_space_group_IT_number 72
_space_group_name_Hall '-I 2 2c'
_cell_length_a 10.756
_cell_length_b 10.963
_cell_length_c 6.690
_cell_angle_alpha 90.00
_cell_angle_beta 90.00
_cell_angle_gamma 90.00
loop_
_atom_site_label
_atom_site_type_symbol
_atom_site_fract_x
_atom_site_fract_y
_atom_site_fract_z
_atom_site_occupancy
Tb1 Tb 0.250 0.248 0.000 1
Th1 Th 0.000 0.000 0.000 1
Sc1 Sc 0.000 0.239 0.250 1
Sc2 Sc 0.000 0.500 0.250 1
```


No. 3
First-principles (GGA-PBE) data for crystalline HgTe2WI at its relaxed geometry, as listed in Alexandria via LeMat-Bulk.

Properties
The mass density is 7.8 g/cm3. As for the uncorrected energy: -18.904 eV for the cell shown. Its uncorrected formation energy is 0.437 eV/atom.

Geometry as CIF:
```
data_HgTe2WI
_chemical_formula_sum 'Hg1 Te2 W1 I1'
_space_group_name_H-M_alt 'P 4/m m m'
_space_group_IT_number 123
_space_group_name_Hall '-P 4 2'
_cell_length_a 5.285
_cell_length_b 5.285
_cell_length_c 5.841
_cell_angle_alpha 90.00
_cell_angle_beta 90.00
_cell_angle_gamma 90.00
loop_
_atom_site_label
_atom_site_type_symbol
_atom_site_fract_x
_atom_site_fract_y
_atom_site_fract_z
_atom_site_occupancy
Hg1 Hg 0.000 0.000 0.000 1
Te1 Te 0.000 0.500 0.500 1
W1 W 0.500 0.500 0.500 1
I1 I 0.500 0.500 0.000 1
```


No. 4
First-principles (GGA-PBE) data for crystalline KSm2Re2N6 at its relaxed geometry, as listed in Alexandria via LeMat-Bulk.

Properties
The mass density is 6.0 g/cm3. As for the uncorrected energy: -91.757 eV for the cell shown. Its uncorrected formation energy is -0.579 eV/atom.

Geometry as CIF:
```
data_KSm2Re2N6
_chemical_formula_sum 'K1 Sm2 Re2 N6'
_space_group_name_H-M_alt 'P -1'
_space_group_IT_number 2
_space_group_name_Hall '-P 1'
_cell_length_a 6.264
_cell_length_b 6.702
_cell_length_c 6.881
_cell_angle_alpha 96.91
_cell_angle_beta 114.46
_cell_angle_gamma 115.45
loop_
_atom_site_label
_atom_site_type_symbol
_atom_site_fract_x
_atom_site_fract_y
_atom_site_fract_z
_atom_site_occupancy
K1 K 0.000 0.000 0.000 1
Sm1 Sm 0.350 0.668 0.281 1
Re1 Re 0.230 0.665 0.685 1
N1 N 0.143 0.664 0.912 1
N2 N 0.310 0.918 0.601 1
N3 N 0.469 0.574 0.711 1
```